Density functional theory data (PBE-GGA) for a relaxed Tl2GeAu4 crystal.

Lattice parameters (Å, degrees): 6.002 9.425 9.425 136.50 90.00 90.00
Positions (direct):
Tl (0.250, 0.397, 0.022)
Tl (0.750, 0.603, 0.978)
Tl (0.750, 0.978, 0.603)
Tl (0.250, 0.022, 0.397)
Au (0.500, 0.415, 0.585)
Au (0.250, 0.657, 0.961)
Au (0.750, 0.343, 0.039)
Au (0.000, 0.415, 0.585)
Au (0.750, 0.039, 0.344)
Au (0.000, 0.585, 0.415)
Au (0.500, 0.585, 0.415)
Au (0.250, 0.961, 0.656)
Ge (0.250, 0.728, 0.728)
Ge (0.750, 0.272, 0.272)

Values from the calculation:
Density of states at the Fermi level, states/eV/f.u.: 1.729
Formation enthalpy at 0 K, eV per atom: 0.068
Calculated total energy, eV/atom: -3.1409

Density functional theory data (PBE-GGA) for a relaxed Tl5GeAu5 crystal.

Lattice parameters (Å, degrees): 5.448 7.497 7.948 109.13 90.00 111.30
Positions (direct):
Tl (0.707, 0.415, 0.305)
Tl (0.621, 0.243, 0.749)
Tl (0.000, 0.000, 0.500)
Tl (0.379, 0.757, 0.251)
Tl (0.293, 0.585, 0.695)
Ge (0.000, 0.000, 0.000)
Au (0.824, 0.649, 0.062)
Au (0.853, 0.705, 0.686)
Au (0.500, 0.000, 0.000)
Au (0.147, 0.295, 0.314)
Au (0.176, 0.351, 0.938)

Values from the calculation:
Density of states at the Fermi level, states/eV/f.u.: 4.156
Formation enthalpy at 0 K, eV per atom: 0.023
Calculated total energy, eV/atom: -2.9620

Density functional theory data (PBE-GGA) for a relaxed Tl2Ge2Au crystal.

Lattice parameters (Å, degrees): 4.930 4.930 6.494 67.69 67.69 90.00
Positions (direct):
Tl (0.750, 0.250, 0.500)
Tl (0.250, 0.750, 0.500)
Au (0.000, 0.000, 0.000)
Ge (0.391, 0.391, 0.218)
Ge (0.609, 0.609, 0.782)

Values from the calculation:
Energy relative to the lowest polymorph listed for this composition, meV per atom: 402
Density of states at the Fermi level, states/eV/f.u.: 3.532
Formation enthalpy at 0 K, eV per atom: 0.457
Calculated total energy, eV/atom: -2.9922

Density functional theory data (PBE-GGA) for a relaxed Tl2Ge2Au3 crystal.

Lattice parameters (Å, degrees): 4.293 6.528 6.809 88.50 89.88 108.62
Positions (direct):
Tl (0.863, 0.734, 0.616)
Tl (0.137, 0.266, 0.384)
Ge (0.623, 0.250, 0.966)
Ge (0.377, 0.750, 0.034)
Au (0.000, 0.000, 0.000)
Au (0.787, 0.569, 0.210)
Au (0.213, 0.431, 0.790)

Values from the calculation:
Density of states at the Fermi level, states/eV/f.u.: 2.584
Formation enthalpy at 0 K, eV per atom: 0.021
Calculated total energy, eV/atom: -3.3787

Q: Which of these has the lowest formation enthalpy at 0 K?
A: Tl2Ge2Au3